Ni15Ir2Pd2 | Alexandria | PBE | optimized geometry; energy of formation from the pure elements = 0.1492 eV per atom; spin magnetization = 11.6 Bohr magnetons per cell; final energy = -5.894 eV per atom
1.0
-1.410 2.637 -5.456
-5.979 1.281 1.148
0.672 5.951 1.687
Ni Pd Ir
15 2 2
Direct
0.349 0.842 0.349
0.651 0.651 0.158
0.842 0.349 0.349
0.691 0.000 0.309
0.349 0.349 0.842
0.000 0.000 0.500
0.309 0.000 0.691
0.000 0.309 0.691
0.000 0.500 0.000
0.000 0.691 0.309
0.691 0.309 0.000
0.500 0.000 0.000
0.309 0.691 0.000
0.651 0.158 0.651
0.158 0.651 0.651
0.646 0.646 0.646
0.354 0.354 0.354
0.101 0.101 0.101
0.899 0.899 0.899